No. 1
# ThTePb | Alexandria | PBE | relaxed
# Energy (eV/atom): -5.319
# D(E_F) (states/eV per cell): 5.505
data_ThTePb
_chemical_formula_sum 'Th2 Te2 Pb2'
_space_group_name_H-M_alt 'I 4 m m'
_space_group_IT_number 107
_space_group_name_Hall 'I 4 -2'
_cell_length_a 4.0470
_cell_length_b 4.0470
_cell_length_c 11.3056
_cell_angle_alpha 90.00
_cell_angle_beta 90.00
_cell_angle_gamma 90.00
loop_
_atom_site_label
_atom_site_fract_x
_atom_site_fract_y
_atom_site_fract_z
Th1 0.0000 0.0000 0.0000
Te1 0.0000 0.0000 0.6286
Pb1 0.0000 0.0000 0.3132

No. 2
# Th5Te5Pb | Alexandria | PBE | relaxed
# Energy (eV/atom): -6.093
# D(E_F) (states/eV per cell): 18.988
data_Th5Te5Pb
_chemical_formula_sum 'Th10 Te10 Pb2'
_space_group_name_H-M_alt 'C 1 2/m 1'
_space_group_IT_number 12
_cell_length_a 14.0515
_cell_length_b 6.3103
_cell_length_c 8.8767
_cell_angle_alpha 90.00
_cell_angle_beta 108.17
_cell_angle_gamma 90.00
loop_
_space_group_symop_operation_xyz
'x,y,z'
'-x,-y,-z'
'-x,y,-z'
'x,-y,z'
'x+1/2,y+1/2,z'
'-x+1/2,-y+1/2,-z'
'-x+1/2,y+1/2,-z'
'x+1/2,-y+1/2,z'
loop_
_atom_site_label
_atom_site_fract_x
_atom_site_fract_y
_atom_site_fract_z
Th1 0.0000 0.0000 0.0000
Th2 0.1664 0.5000 0.3346
Th3 0.1755 0.5000 0.8388
Te1 0.0000 0.5000 0.5000
Te2 0.1548 0.0000 0.3444
Te3 0.1561 0.0000 0.8114
Pb1 0.0000 0.5000 0.0000

No. 3
# Th4Te3Pb | Alexandria | PBE | relaxed
# Energy (eV/atom): -6.220
# D(E_F) (states/eV per cell): 7.528
data_Th4Te3Pb
_chemical_formula_sum 'Th4 Te3 Pb1'
_space_group_name_H-M_alt 'P 4/m m m'
_space_group_IT_number 123
_space_group_name_Hall '-P 4 2'
_cell_length_a 3.8293
_cell_length_b 3.8293
_cell_length_c 15.8583
_cell_angle_alpha 90.00
_cell_angle_beta 90.00
_cell_angle_gamma 90.00
loop_
_atom_site_label
_atom_site_fract_x
_atom_site_fract_y
_atom_site_fract_z
Th1 0.0000 0.0000 0.1219
Th2 0.0000 0.0000 0.3687
Te1 0.5000 0.5000 0.0000
Te2 0.5000 0.5000 0.2436
Pb1 0.5000 0.5000 0.5000